[1]
Density functional theory data (PBE) for a geometry-optimized MnSe structure.

Cell and atoms, written as POSCAR:
```
MnSe
1.0
4.675 0.000 0.000
2.338 4.049 0.000
2.338 1.350 3.817
Mn Se
2 2
Cartesian
2.338 1.350 0.954
0.000 0.000 0.000
7.013 4.049 2.863
4.675 2.699 1.909
```

- magnetization (Bohr magnetons per cell) = 8.2
- E_tot (eV/atom) = -5.800
- formation energy (no corrections) (kcal/mol of atoms) = 12.16

---

[2]
Density functional theory data (PBE) for a geometry-optimized RbCdS2N structure.

Cell and atoms, written as POSCAR:
```
RbCdS2N
1.0
5.942 0.000 0.000
0.000 5.942 0.000
0.000 0.000 5.245
S Cd Rb N
2 1 1 1
Cartesian
2.971 0.000 0.000
0.000 2.971 0.000
2.971 2.971 2.622
0.000 0.000 0.000
0.000 0.000 2.622
```

- magnetization (Bohr magnetons per cell) = 4.7
- E_tot (eV/atom) = -2.100
- formation energy (no corrections) (kcal/mol of atoms) = 36.72
- energy relative to the lowest polymorph listed for this composition (meV per atom) = 1016

---

[3]
Density functional theory data (PBE) for a geometry-optimized Li4Tl7In structure.

Cell and atoms, written as POSCAR:
```
Li4Tl7In
1.0
5.667 0.000 0.000
2.834 7.831 0.814
2.834 0.946 7.079
Tl Li In
7 4 1
Cartesian
2.834 4.930 2.390
2.834 1.323 3.324
5.667 6.140 6.025
2.834 0.000 0.000
5.667 2.637 1.868
8.501 7.453 4.569
8.501 3.847 5.503
8.501 6.002 7.424
2.834 2.775 0.470
5.667 6.005 3.182
5.667 2.772 4.712
0.000 0.000 0.000
```

- magnetization (Bohr magnetons per cell) = 0.0
- E_tot (eV/atom) = -2.289
- ΔH_f (0 K) (meV per atom) = -43

---

[4]
Density functional theory data (PBE) for a geometry-optimized CrNiCl2 structure.

Cell and atoms, written as POSCAR:
```
CrNiCl2
1.0
-0.924 -0.728 4.436
1.907 -3.556 2.188
3.241 0.725 3.168
Cl Cr Ni
2 1 1
Cartesian
1.056 -0.890 2.448
0.000 0.000 0.000
2.112 -1.780 4.896
3.168 -2.669 7.344
```

- magnetization (Bohr magnetons per cell) = 3.9
- E_tot (eV/atom) = -4.262
- formation energy (no corrections) (kcal/mol of atoms) = 11.81
- energy relative to the lowest polymorph listed for this composition (meV per atom) = 801